Density functional theory data (GGA-PBE) for a geometry-optimized CrOs2Cl2 structure.

abc: 3.9057 3.9057 11.5371
angles: 90.00 90.00 90.00
With the nearest neighbours (Å) after each atom.
Space group I4/mmm (No. 139)
Inequivalent atoms, fractional coordinates:
Cr: 0.0000 0.0000 0.0000  8 Os 2.99
Os: 0.0000 0.0000 0.4015  1 Os 2.27
Cl: 0.0000 0.5000 0.2500  4 Os 2.62, 4 Cl 2.76

Results
Energy relative to the elements, uncorrected (eV per atom): 1.03
Distance to the lowest polymorph of the same formula (eV/f.u.): 1.10
D(E_F) (states/eV/atom): 0.8340

---

Density functional theory data (GGA-PBE) for a geometry-optimized CrOsCl2 structure.

abc: 3.0878 2.8647 8.6063
angles: 90.00 90.11 90.00
With the nearest neighbours (Å) after each atom.
Space group Pm (No. 6)
Inequivalent atoms, fractional coordinates:
Cr: 0.0000 0.0000 0.0000  2 Cl 2.27, 4 Os 2.54
Os: 0.5009 0.5000 0.1644  2 Cl 2.42, 4 Cr 2.54
Cl: 0.5019 0.0000 0.3914  2 Os 2.42
Cl: 0.9977 0.5000 0.7957  2 Cr 2.27

Results
Energy relative to the elements, uncorrected (eV per atom): -0.07
Distance to the lowest polymorph of the same formula (eV/f.u.): 0.00
D(E_F) (states/eV/atom): 0.8579